Entry 1:
Nd8Ga3SeI4 | PBE | optimized geometry

Summary:
total magnetic moment	0.00	μB/cell
V	31.51	Å³ per atom
raw formation energy	-91.3	kJ per mole of atoms

Geometry as extended XYZ:
```
16
Lattice="-4.7494 7.3003 -0.7248 -5.9847 -4.4207 -5.3102 1.7944 -3.2793 7.9004" Properties=species:S:1:pos:R:3 pbc="T T T"
Nd -3.6060 -4.5465 3.7250
Nd -4.4877 -2.9352 -0.1570
Nd -2.0665 -1.1033 2.4289
Nd -5.9396 -0.9594 3.3689
Nd -3.0001 0.5597 -1.5034
Nd -6.8733 0.7035 -0.5634
Nd -4.4521 2.5354 2.0224
Nd -5.3338 4.1467 -1.8595
Ga -5.3671 1.4398 -3.0175
Ga -4.4699 -0.1999 0.9327
Ga -2.0952 -3.8500 1.2951
Se -2.9924 -2.2104 -2.6551
I -2.3747 3.6501 -0.3624
I -1.4775 2.0105 3.5878
I 0.0000 0.0000 0.0000
I 0.8972 -1.6397 3.9502
```

=====

Entry 2:
Nd4GaSe2I | PBE | optimized geometry

Summary:
total magnetic moment	0.00	μB/cell
V	28.92	Å³ per atom
raw formation energy	-124.6	kJ per mole of atoms

Geometry as extended XYZ:
```
8
Lattice="-1.4847 3.1010 -2.4597 -6.6425 -0.5097 3.3667 -0.0243 4.7919 6.0557" Properties=species:S:1:pos:R:3 pbc="T T T"
Nd -5.1344 3.0409 6.9326
Nd -3.0170 4.3423 0.0301
Nd -5.7686 2.4363 2.9206
Nd -2.3828 4.9469 4.0421
Ga -3.3333 2.1411 4.7112
Se -0.0243 4.7919 6.0557
Se -0.7545 3.9464 1.7980
I -4.0636 1.2956 0.4535
```

=====

Entry 3:
Nd8Ga3SiI4 | PBE | optimized geometry

Summary:
total magnetic moment	0.00	μB/cell
V	31.50	Å³ per atom
raw formation energy	-78.3	kJ per mole of atoms

Geometry as extended XYZ:
```
16
Lattice="-2.4979 2.0376 -8.1409 4.2228 -7.4424 -3.1585 -5.9892 -0.9346 6.3125" Properties=species:S:1:pos:R:3 pbc="T T T"
Nd -3.4265 -5.6899 2.0032
Nd -0.4053 -5.2178 -1.1816
Nd -2.5857 -2.1052 0.2664
Nd -4.6869 -4.6617 -2.1047
Nd 0.4226 -1.6776 -2.8822
Nd -1.6787 -4.2341 -5.2533
Nd -3.8590 -1.1215 -3.8053
Nd -0.8379 -0.6495 -6.9901
Ga 0.8624 -2.7024 -5.6497
Ga -2.1322 -3.1697 -2.4934
Ga -0.8832 -4.1885 1.5770
Si 2.1114 -3.7212 -1.5792
I -1.2490 1.0188 -4.0704
I -4.2436 0.5515 -0.9142
I 0.0000 0.0000 0.0000
I -2.9946 -0.4673 3.1562
```

=====

Entry 4:
Nd4GaSiI2 | PBE | optimized geometry

Summary:
total magnetic moment	0.00	μB/cell
V	31.50	Å³ per atom
raw formation energy	-82.5	kJ per mole of atoms

Geometry as extended XYZ:
```
8
Lattice="4.3418 0.0000 0.0000 0.0000 7.6050 0.1494 0.0000 -2.6512 7.5789" Properties=species:S:1:pos:R:3 pbc="T T T"
Nd 2.1709 1.2285 1.5634
Nd 2.1709 3.7253 6.1649
Nd 0.0000 -0.1153 6.0589
Nd 0.0000 5.0690 1.6694
Ga 2.1709 3.8025 0.0747
Si 0.0000 0.0000 0.0000
I 2.1709 -1.3256 3.7895
I 0.0000 2.4769 3.8641
```

=====

Entry 5:
Nd8GaSi3I4 | PBE | optimized geometry

Summary:
total magnetic moment	0.00	μB/cell
V	31.45	Å³ per atom
raw formation energy	-86.9	kJ per mole of atoms

Geometry as extended XYZ:
```
16
Lattice="-6.3452 -5.9338 0.5642 4.6778 -4.3786 6.5581 -1.8155 8.4366 1.1457" Properties=species:S:1:pos:R:3 pbc="T T T"
Nd 0.0355 3.6924 5.8391
Nd 0.9387 -0.5027 5.2696
Nd -1.2540 1.6015 2.7410
Nd -3.1193 0.7422 6.1196
Nd -0.3637 -2.6179 2.1483
Nd -2.2290 -3.4773 5.5269
Nd -4.4216 -1.3730 2.9984
Nd -3.5185 -5.5682 2.4288
Ga 2.3389 -2.1893 3.2791
Si -0.8337 -5.1562 3.5611
Si -1.7415 -0.9379 4.1340
Si 1.4311 2.0290 3.8519
I -3.1726 -2.9669 0.2821
I -4.0804 1.2514 0.8549
I 0.0000 0.0000 0.0000
I -0.9077 4.2183 0.5728
```

=====

Entry 6:
Nd8Ga3TcI4 | PBE | optimized geometry

Summary:
total magnetic moment	0.00	μB/cell
V	32.06	Å³ per atom
raw formation energy	-64.3	kJ per mole of atoms

Geometry as extended XYZ:
```
16
Lattice="-0.8632 5.5831 -6.5950 -7.5107 -4.6560 -2.9586 -0.0097 2.9072 8.1796" Properties=species:S:1:pos:R:3 pbc="T T T"
Nd -5.4162 0.8347 4.4295
Nd -5.4107 -0.6976 0.1176
Nd -2.3923 1.6526 1.7122
Nd -5.8712 3.7780 0.9528
Nd -2.5123 0.0563 -2.3267
Nd -5.9912 2.1817 -3.0861
Nd -2.9728 4.5319 -1.4916
Nd -2.9673 2.9996 -5.8034
Ga -4.1869 0.4635 -4.7768
Ga -4.1918 1.9171 -0.6870
Ga -3.7602 -0.8744 2.6105
Tc -3.7553 -2.3280 -1.4793
I -0.4316 2.7915 -3.2975
I -0.4364 4.2451 0.7923
I 0.0000 0.0000 0.0000
I -0.0048 1.4536 4.0898
```

=====

Entry 7:
Nd4GaTe2I | PBE | optimized geometry

Summary:
total magnetic moment	0.00	μB/cell
V	31.83	Å³ per atom
raw formation energy	-106.4	kJ per mole of atoms

Geometry as extended XYZ:
```
8
Lattice="4.4303 0.0000 0.0000 0.0000 7.8718 0.2127 0.0000 -2.6753 7.2290" Properties=species:S:1:pos:R:3 pbc="T T T"
Nd 2.2151 1.5225 1.8504
Nd 2.2151 3.6740 5.5913
Nd 0.0000 0.1166 5.6051
Nd 0.0000 5.0799 1.8366
Ga 2.2151 3.9359 0.1064
Te 2.2151 -1.3377 3.6145
Te 0.0000 2.5983 3.7208
I 0.0000 0.0000 0.0000
```

=====

Entry 8:
NdTl2GaI6 | PBE | optimized geometry

Summary:
total magnetic moment	0.00	μB/cell
V	46.85	Å³ per atom
raw formation energy	-86.2	kJ per mole of atoms

Geometry as extended XYZ:
```
10
Lattice="8.5550 0.0009 0.0005 4.2783 7.4081 0.0005 4.2777 2.4703 7.3929" Properties=species:S:1:pos:R:3 pbc="T T T"
Nd 4.2774 2.4693 0.2078
Tl 8.5559 4.9398 3.1381
Tl 4.2778 2.4704 6.9714
Ga 12.8342 7.4099 4.0142
I 6.8570 2.0433 1.9162
I 6.8960 7.8574 1.9163
I 11.9126 4.9182 1.9159
I 10.0490 6.9427 5.6673
I 9.5435 2.6447 5.6674
I 6.0740 5.2314 5.6670
```

=====

- Among the records above, which one has the lowest V?
  Nd4GaSe2I

=====

Copy entry 2 word for word.
Nd4GaSe2I | PBE | optimized geometry

Summary:
total magnetic moment	0.00	μB/cell
V	28.92	Å³ per atom
raw formation energy	-124.6	kJ per mole of atoms

Geometry as extended XYZ:
```
8
Lattice="-1.4847 3.1010 -2.4597 -6.6425 -0.5097 3.3667 -0.0243 4.7919 6.0557" Properties=species:S:1:pos:R:3 pbc="T T T"
Nd -5.1344 3.0409 6.9326
Nd -3.0170 4.3423 0.0301
Nd -5.7686 2.4363 2.9206
Nd -2.3828 4.9469 4.0421
Ga -3.3333 2.1411 4.7112
Se -0.0243 4.7919 6.0557
Se -0.7545 3.9464 1.7980
I -4.0636 1.2956 0.4535
```

=====

- Look up the total magnetic moment of the third one.
  0.00 μB/cell

=====

- Among the records above, which one has the lowest V?
  Nd4GaSe2I